# ScPd3C

A geometry-optimized ScPd3C structure (GGA-PBE, OQMD via LeMat-Bulk).

Cell lengths 4.206, 4.206, 4.206 Å; angles 90.00, 90.00, 90.00 degrees
Sites, in units of the cell vectors:
Sc: 0.000 0.000 0.000
Pd: 0.000 0.500 0.500
Pd: 0.500 0.000 0.500
Pd: 0.500 0.500 0.000
C: 0.500 0.500 0.500

Results
E: -6.401 eV per atom

# PrTaAs

A geometry-optimized PrTaAs structure (GGA-PBE, OQMD via LeMat-Bulk).

Cell lengths 4.686, 4.686, 4.686 Å; angles 60.00, 60.00, 60.00 degrees
Sites, in units of the cell vectors:
Pr: 0.000 0.000 0.000
Ta: 0.500 0.500 0.500
As: 0.250 0.250 0.250

Results
E above lowest polymorph: 0 meV per atom

# LuTlCdCu

A geometry-optimized LuTlCdCu structure (GGA-PBE, OQMD via LeMat-Bulk).

Cell lengths 4.916, 4.916, 4.916 Å; angles 60.00, 60.00, 60.00 degrees
Sites, in units of the cell vectors:
Lu: 0.000 0.000 0.000
Tl: 0.500 0.500 0.500
Cd: 0.250 0.250 0.250
Cu: 0.750 0.750 0.750

Results
E above lowest polymorph: 0 meV per atom

# Cd3Tc2Br3

A geometry-optimized Cd3Tc2Br3 structure (GGA-PBE, OQMD via LeMat-Bulk).

Cell lengths 7.404, 7.404, 7.404 Å; angles 47.64, 47.64, 47.64 degrees
Sites, in units of the cell vectors:
Cd: 0.000 0.500 0.500
Cd: 0.500 0.000 0.500
Cd: 0.500 0.500 0.000
Tc: 0.221 0.221 0.221
Tc: 0.779 0.779 0.779
Br: 0.091 0.091 0.091
Br: 0.500 0.500 0.500
Br: 0.909 0.909 0.909

Results
E: -3.064 eV per atom

# AcZnPO

A geometry-optimized AcZnPO structure (GGA-PBE, OQMD via LeMat-Bulk).

Cell lengths 5.944, 5.944, 4.664 Å; angles 90.00, 90.00, 90.00 degrees
Sites, in units of the cell vectors:
Ac: 0.250 0.750 0.000
Ac: 0.750 0.250 0.000
Zn: 0.250 0.250 0.498
Zn: 0.750 0.750 0.502
P: 0.250 0.250 0.998
P: 0.750 0.750 0.002
O: 0.250 0.750 0.500
O: 0.750 0.250 0.500

Results
E above lowest polymorph: 615 meV per atom

# Pr2HoMg3Al2Cd

A geometry-optimized Pr2HoMg3Al2Cd structure (GGA-PBE, OQMD via LeMat-Bulk).

Cell lengths 4.649, 7.514, 7.514 Å; angles 119.02, 90.00, 90.00 degrees
Sites, in units of the cell vectors:
Pr: 0.000 0.213 0.787
Pr: 0.000 0.787 0.213
Ho: 0.000 0.358 0.358
Mg: 0.500 0.028 0.028
Mg: 0.500 0.539 0.784
Mg: 0.500 0.784 0.539
Al: 0.500 0.125 0.450
Al: 0.500 0.450 0.125
Cd: 0.000 0.775 0.775

Results
E: -3.330 eV per atom